8
Lattice="3.650 0.000 0.000 0.000 3.650 0.000 1.825 1.825 9.726" Properties=species:S:1:pos:R:3 comment="BeAg2W, relaxed, DFT PBE" formation_enthalpy_0k_kcal_per_mol_atoms=22.56 sg="I-42d, No. 122" n_ef_per_ev_cell=7.6 magmom_total_mub_per_atom=0.0000 energy_ev_per_cell=-36.939 pbc="T T T"
Ag 0.931 2.737 2.432
Ag 2.718 0.912 2.432
W 0.000 0.000 0.000
Be 1.825 3.650 4.863
W 3.650 1.825 4.863
Ag 2.737 2.756 7.295
Ag 4.562 4.543 7.295
Be 1.825 1.825 0.000